Si2Ni2Mo after structural relaxation. Source: Alexandria via LeMat-Bulk, functional PBE.

a b c (Å): 6.791 6.791 2.642
angles (deg): 90.00 90.00 90.00
Element x y z (fractional)
Ni1 0.857 0.357 0.500
Ni2 0.357 0.143 0.500
Ni3 0.143 0.643 0.500
Ni4 0.643 0.857 0.500
Si1 0.350 0.850 0.000
Si2 0.650 0.150 0.000
Si3 0.150 0.350 0.000
Si4 0.850 0.650 0.000
Mo1 0.500 0.500 0.000
Mo2 0.000 0.000 0.000

Output
Electronic total energy   -7.085 eV per atom
Space-group type   P4/mbm, No. 127
Formation energy (no corrections)   -437 meV per atom

CePuP2Pd2 after structural relaxation. Source: Alexandria via LeMat-Bulk, functional PBE.

a b c (Å): 4.208 4.208 7.724
angles (deg): 90.00 90.00 120.00
Site moments in Bohr magnetons follow the coordinates.
Element x y z (fractional)
P1 0.333 0.667 0.252  0.04
P2 0.667 0.333 0.748  0.04
Pd1 0.667 0.333 0.247  0.03
Pd2 0.333 0.667 0.753  0.03
Ce1 0.000 0.000 0.500  0.40
Pu1 0.000 0.000 0.000  -5.22

Output
Electronic total energy   -7.961 eV per atom
Energy of formation from the pure elements   -1049 meV/atom
Space-group type   P-3m1, No. 164

Sr3Sn3Pb8 after structural relaxation. Source: Alexandria via LeMat-Bulk, functional PBE.

a b c (Å): 5.278 9.764 9.764
angles (deg): 83.27 74.32 74.32
Element x y z (fractional)
Sn1 0.000 0.834 0.166
Sn2 0.000 0.166 0.834
Sn3 0.500 0.000 0.000
Pb1 0.642 0.636 0.079
Pb2 0.358 0.921 0.364
Pb3 0.135 0.491 0.240
Pb4 0.865 0.509 0.760
Pb5 0.642 0.079 0.636
Pb6 0.865 0.760 0.509
Pb7 0.135 0.240 0.491
Pb8 0.358 0.364 0.921
Sr1 0.800 0.200 0.200
Sr2 0.200 0.800 0.800
Sr3 0.500 0.500 0.500

Output
Electronic total energy   -3.561 eV per atom
Energy of formation from the pure elements   -223 meV/atom
Space-group type   Immm, No. 71